# LaErAl2Si | Alexandria | GGA-PBE | optimized geometry
data_LaErAl2Si
_chemical_formula_sum 'La2 Er2 Al4 Si2'
_symmetry_space_group_name_H-M 'I m m 2'
_symmetry_Int_Tables_number 44
_symmetry_space_group_name_Hall 'I 2 -2'
_cell_length_a 4.3826
_cell_length_b 4.4331
_cell_length_c 12.1282
_cell_angle_alpha 90.00
_cell_angle_beta 90.00
_cell_angle_gamma 90.00
loop_
_atom_site_label
_atom_site_type_symbol
_atom_site_fract_x
_atom_site_fract_y
_atom_site_fract_z
_atom_site_occupancy
La1 La 0.0000 0.0000 0.0000 1
Er1 Er 0.0000 0.5000 0.7581 1
Al1 Al 0.0000 0.0000 0.6063 1
Al2 Al 0.0000 0.5000 0.2500 1
Si1 Si 0.0000 0.0000 0.4013 1
# ΔE_f (raw): -482.5 meV per atom
# calculated volume: 236 Å³ per cell
# magnetic moment: 0.00 Bohr magnetons per cell
# E: -49.62 eV per cell

=====

# LaSmErAl | Alexandria | GGA-PBE | optimized geometry
data_LaSmErAl
_chemical_formula_sum 'La1 Sm1 Er1 Al1'
_symmetry_space_group_name_H-M 'P 4 m m'
_symmetry_Int_Tables_number 99
_symmetry_space_group_name_Hall 'P 4 -2'
_cell_length_a 3.5548
_cell_length_b 3.5548
_cell_length_c 9.2849
_cell_angle_alpha 90.00
_cell_angle_beta 90.00
_cell_angle_gamma 90.00
loop_
_atom_site_label
_atom_site_type_symbol
_atom_site_fract_x
_atom_site_fract_y
_atom_site_fract_z
_atom_site_occupancy
La1 La 0.0000 0.0000 0.0000 1
Sm1 Sm 0.5000 0.5000 0.6978 1
Er1 Er 0.5000 0.5000 0.2855 1
Al1 Al 0.0000 0.0000 0.4846 1
# calculated volume: 117 Å³ per cell
# magnetic moment: 0.00 Bohr magnetons per cell
# calculated formation energy: -0.177 eV per atom
# E: -18.66 eV per cell

=====

# LaSmErAl | Alexandria | GGA-PBE | optimized geometry
data_LaSmErAl
_chemical_formula_sum 'La4 Sm4 Er4 Al4'
_symmetry_space_group_name_H-M 'F -4 3 m'
_symmetry_Int_Tables_number 216
_symmetry_space_group_name_Hall 'F -4 2 3'
_cell_length_a 7.7257
_cell_length_b 7.7257
_cell_length_c 7.7257
_cell_angle_alpha 90.00
_cell_angle_beta 90.00
_cell_angle_gamma 90.00
loop_
_atom_site_label
_atom_site_type_symbol
_atom_site_fract_x
_atom_site_fract_y
_atom_site_fract_z
_atom_site_occupancy
La1 La 0.0000 0.0000 0.0000 1
Sm1 Sm 0.0000 0.0000 0.5000 1
Er1 Er 0.2500 0.2500 0.7500 1
Al1 Al 0.2500 0.2500 0.2500 1
# calculated volume: 461 Å³ per cell
# magnetic moment: 0.02 Bohr magnetons per cell
# calculated formation energy: -0.072 eV per atom
# E: -72.97 eV per cell

=====

# LaErAlSn | Alexandria | GGA-PBE | optimized geometry
data_LaErAlSn
_chemical_formula_sum 'La4 Er4 Al4 Sn4'
_symmetry_space_group_name_H-M 'F -4 3 m'
_symmetry_Int_Tables_number 216
_symmetry_space_group_name_Hall 'F -4 2 3'
_cell_length_a 7.5646
_cell_length_b 7.5646
_cell_length_c 7.5646
_cell_angle_alpha 90.00
_cell_angle_beta 90.00
_cell_angle_gamma 90.00
loop_
_atom_site_label
_atom_site_type_symbol
_atom_site_fract_x
_atom_site_fract_y
_atom_site_fract_z
_atom_site_occupancy
La1 La 0.0000 0.0000 0.0000 1
Er1 Er 0.0000 0.0000 0.5000 1
Al1 Al 0.2500 0.2500 0.2500 1
Sn1 Sn 0.2500 0.2500 0.7500 1
# calculated volume: 433 Å³ per cell
# magnetic moment: 0.01 Bohr magnetons per cell
# calculated formation energy: -0.455 eV per atom
# E: -76.23 eV per cell